Material: RbNa2Ag
Method: DFT, PBE
State: optimized geometry

Lattice parameters (Å, degrees): 5.8112 5.8112 5.8112 60.00 60.00 60.00
Atoms (fractional coordinates):
Na1 0.7500 0.7500 0.7500
Na2 0.2500 0.2500 0.2500
Rb1 0.0000 0.0000 0.0000
Ag1 0.5000 0.5000 0.5000

Results
Calculated formation energy, eV per atom: 0.114
Total magnetic moment, μB per formula unit: 0.00
Space-group type: Fm-3m (225)


Material: BaF
Method: DFT, PBE
State: optimized geometry

Lattice parameters (Å, degrees): 10.9395 10.9395 4.5031 90.00 90.00 90.00
Atoms (fractional coordinates):
Ba1 0.7713 0.4234 0.0000
Ba2 0.2287 0.5766 0.0000
Ba3 0.4234 0.2287 0.0000
Ba4 0.9234 0.7287 0.5000
Ba5 0.2713 0.9234 0.5000
Ba6 0.7287 0.0766 0.5000
Ba7 0.0766 0.2713 0.5000
Ba8 0.5766 0.7713 0.0000
F1 0.6683 0.2022 0.0000
F2 0.7978 0.6683 0.0000
F3 0.8317 0.2978 0.5000
F4 0.2978 0.1683 0.5000
F5 0.2022 0.3317 0.0000
F6 0.3317 0.7978 0.0000
F7 0.1683 0.7022 0.5000
F8 0.7022 0.8317 0.5000

Results
Energy relative to the elements, uncorrected, eV per formula unit: -5.51
Total magnetic moment, μB per formula unit: 0.00
Space-group type: I4/m (87)


Material: K2YbF5
Method: DFT, PBE
State: optimized geometry

Lattice parameters (Å, degrees): 6.6630 7.3379 10.9373 90.00 90.00 90.00
Each line ends with the local moment (μB).
Atoms (fractional coordinates):
F1 0.8399 0.7500 0.8095  0.06
F2 0.3399 0.2500 0.6905  0.06
F3 0.6601 0.7500 0.3095  0.06
F4 0.8533 0.0332 0.0769  0.04
F5 0.1601 0.2500 0.1905  0.06
F6 0.3533 0.5332 0.4231  0.04
F7 0.6078 0.7500 0.0126  0.04
F8 0.6467 0.0332 0.5769  0.04
F9 0.6467 0.4668 0.5769  0.04
F10 0.3922 0.2500 0.9874  0.04
F11 0.8725 0.2500 0.8322  0.05
F12 0.3725 0.7500 0.6678  0.05
F13 0.8922 0.7500 0.5127  0.04
F14 0.6275 0.2500 0.3322  0.05
F15 0.3533 0.9668 0.4231  0.04
F16 0.1467 0.9668 0.9231  0.04
F17 0.8533 0.4668 0.0769  0.04
F18 0.1078 0.2500 0.4874  0.04
F19 0.1467 0.5332 0.9231  0.04
F20 0.1275 0.7500 0.1678  0.05
K1 0.4662 0.5024 0.1702  0.00
K2 0.4662 0.9976 0.1702  0.00
K3 0.9662 0.0024 0.3298  0.00
K4 0.0338 0.5024 0.6702  0.00
K5 0.9662 0.4976 0.3298  0.00
K6 0.5338 0.4976 0.8298  0.00
K7 0.0338 0.9976 0.6702  0.00
K8 0.5338 0.0024 0.8298  0.00
Yb1 0.0577 0.2500 0.9984  0.75
Yb2 0.5577 0.7500 0.5016  0.75
Yb3 0.9423 0.7500 0.0016  0.75
Yb4 0.4423 0.2500 0.4984  0.75

Results
Energy relative to the elements, uncorrected, eV per formula unit: -25.34
Total magnetic moment, μB per formula unit: 1.01
Space-group type: Pnma (62)


Material: ZnGeAu4
Method: DFT, PBE
State: optimized geometry

Lattice parameters (Å, degrees): 3.2407 7.2738 9.4676 90.00 99.85 90.00
Atoms (fractional coordinates):
Zn1 0.8060 0.8414 0.6120
Zn2 0.1940 0.3414 0.3880
Au1 0.3212 0.1463 0.6425
Au2 0.4212 0.8211 0.8423
Au3 0.5788 0.3211 0.1577
Au4 0.0411 0.6450 0.0821
Au5 0.3076 0.5452 0.6153
Au6 0.6924 0.0452 0.3847
Au7 0.9589 0.1450 0.9179
Au8 0.6788 0.6463 0.3575
Ge1 0.5616 0.9345 0.1233
Ge2 0.4384 0.4345 0.8767

Results
Calculated formation energy, eV per atom: -0.029
Total magnetic moment, μB per formula unit: 0.00
Space-group type: Cmc2_1 (36)


Material: DyYMgRu
Method: DFT, PBE
State: optimized geometry

Lattice parameters (Å, degrees): 3.4555 3.4555 8.0508 90.00 90.00 90.00
Atoms (fractional coordinates):
Ru1 0.0000 0.0000 0.5688
Dy1 0.5000 0.5000 0.3671
Y1 0.5000 0.5000 0.7765
Mg1 0.0000 0.0000 0.0723

Results
Calculated formation energy, eV per atom: -0.283
Total magnetic moment, μB per formula unit: 0.00
Space-group type: P4mm (99)


Material: GeSeF
Method: DFT, PBE
State: optimized geometry

Lattice parameters (Å, degrees): 3.6128 3.6128 6.4595 106.24 106.24 90.00
Atoms (fractional coordinates):
Se1 0.0391 0.0391 0.0782
F1 0.3308 0.3308 0.6616
Ge1 0.4801 0.4801 0.9602

Results
Energy relative to the elements, uncorrected, eV per formula unit: -3.11
Total magnetic moment, μB per formula unit: 0.00
Space-group type: I4mm (107)


Material: ScCrHg2Br
Method: DFT, PBE
State: optimized geometry

Lattice parameters (Å, degrees): 5.2483 5.2483 5.0033 90.00 90.00 90.00
Each line ends with the local moment (μB).
Atoms (fractional coordinates):
Br1 0.5000 0.5000 0.5000  0.03
Hg1 0.0000 0.5000 0.0000  0.06
Hg2 0.5000 0.0000 0.0000  0.06
Sc1 0.0000 0.0000 0.5000  -0.27
Cr1 0.0000 0.0000 0.0000  3.11

Results
Energy relative to the elements, uncorrected, eV per formula unit: 1.43
Total magnetic moment, μB per formula unit: 3.25
Space-group type: P4/mmm (123)


Material: PS2Cl2
Method: DFT, PBE
State: optimized geometry

Lattice parameters (Å, degrees): 5.8408 5.8408 5.2808 56.43 56.43 90.00
Each line ends with the local moment (μB).
Atoms (fractional coordinates):
S1 0.3519 0.3519 0.2962  -0.05
S2 0.6481 0.6481 0.7038  -0.05
P1 0.0000 0.0000 0.0000  0.35
Cl1 0.2500 0.7500 0.5000  0.07
Cl2 0.7500 0.2500 0.5000  0.07

Results
Energy relative to the elements, uncorrected, eV per formula unit: 3.60
Total magnetic moment, μB per formula unit: 0.77
Space-group type: I4/mmm (139)


Material: PaSn2Ru
Method: DFT, PBE
State: optimized geometry

Lattice parameters (Å, degrees): 3.2906 3.2906 7.7532 90.00 90.00 90.00
Each line ends with the local moment (μB).
Atoms (fractional coordinates):
Sn1 0.0000 0.0000 0.7939  -0.01
Sn2 0.0000 0.0000 0.2061  -0.01
Pa1 0.5000 0.5000 0.5000  0.71
Ru1 0.5000 0.5000 0.0000  0.02

Results
Calculated formation energy, eV per atom: -0.114
Total magnetic moment, μB per formula unit: 0.83
Space-group type: P4/mmm (123)


Material: Na2SrNd
Method: DFT, PBE
State: optimized geometry

Lattice parameters (Å, degrees): 3.7274 3.7274 13.9221 82.31 82.31 60.00
Atoms (fractional coordinates):
Na1 0.9149 0.9149 0.2554
Na2 0.0851 0.0851 0.7446
Sr1 0.5000 0.5000 0.5000
Nd1 0.0000 0.0000 0.0000

Results
Calculated formation energy, eV per atom: 0.287
Total magnetic moment, μB per formula unit: 0.00
Space-group type: R-3m (166)


Material: Ca2Zn5Cu5
Method: DFT, PBE
State: optimized geometry

Lattice parameters (Å, degrees): 4.1164 5.2569 9.1541 90.00 90.00 90.00
Atoms (fractional coordinates):
Zn1 0.0000 0.5000 0.3329
Zn2 0.0000 0.5000 0.6671
Zn3 0.5000 0.0000 0.0000
Zn4 0.0000 0.0000 0.8249
Zn5 0.0000 0.0000 0.1751
Cu1 0.5000 0.5000 0.5000
Cu2 0.5000 0.2524 0.2510
Cu3 0.5000 0.2524 0.7490
Cu4 0.5000 0.7476 0.2510
Cu5 0.5000 0.7476 0.7490
Ca1 0.0000 0.0000 0.5000
Ca2 0.0000 0.5000 0.0000

Results
Calculated formation energy, eV per atom: -0.209
Total magnetic moment, μB per formula unit: 0.00
Space-group type: Pmmm (47)


Material: MgNiAs2Se
Method: DFT, PBE
State: optimized geometry

Lattice parameters (Å, degrees): 4.5168 4.5168 5.2007 90.00 90.00 90.00
Atoms (fractional coordinates):
Ni1 0.0000 0.0000 0.0000
As1 0.0000 0.5000 0.0000
As2 0.5000 0.0000 0.0000
Mg1 0.5000 0.5000 0.5000
Se1 0.0000 0.0000 0.5000

Results
Energy relative to the elements, uncorrected, eV per formula unit: 0.80
Total magnetic moment, μB per formula unit: 0.00
Space-group type: P4/mmm (123)